Record 1
Mg3MnV | Alexandria via LeMat-Bulk | GGA-PBE | relaxed; space-group type = Pm-3m; offset from the most stable computed form = 0.0 kJ/mol of atoms
1.0
4.926 0.000 0.000
0.000 4.926 0.000
0.000 0.000 4.926
Mg Mn V
3 1 1
direct
0.000 0.000 0.500 Mg
0.000 0.500 0.000 Mg
0.500 0.000 0.000 Mg
0.000 0.000 0.000 Mn
0.500 0.500 0.500 V

Record 2
Mg2MnV | Alexandria via LeMat-Bulk | GGA-PBE | relaxed; space-group type = I-42d; offset from the most stable computed form = 21.7 kJ/mol of atoms
1.0
-3.730 3.730 2.720
3.730 -3.730 2.720
3.730 3.730 -2.720
Mg Mn V
4 2 2
direct
0.114 0.125 0.489 Mg
0.375 0.886 0.011 Mg
0.636 0.625 0.511 Mg
0.875 0.364 0.989 Mg
0.000 0.000 0.000 Mn
0.750 0.250 0.500 Mn
0.250 0.750 0.500 V
0.500 0.500 0.000 V

Record 3
Mg14MnV | Alexandria via LeMat-Bulk | GGA-PBE | relaxed; space-group type = P-6m2; offset from the most stable computed form = 0.0 kJ/mol of atoms
1.0
6.293 0.000 0.000
-3.146 5.450 0.000
0.000 0.000 10.048
Mg Mn V
14 1 1
direct
0.000 0.000 0.249 Mg
0.000 0.000 0.751 Mg
0.011 0.505 0.248 Mg
0.011 0.505 0.752 Mg
0.334 0.167 0.000 Mg
0.335 0.168 0.500 Mg
0.495 0.505 0.248 Mg
0.495 0.505 0.752 Mg
0.495 0.989 0.248 Mg
0.495 0.989 0.752 Mg
0.832 0.168 0.500 Mg
0.832 0.665 0.500 Mg
0.833 0.167 0.000 Mg
0.833 0.666 0.000 Mg
0.333 0.667 0.000 Mn
0.333 0.667 0.500 V

Record 4
Mg2MnV | Alexandria via LeMat-Bulk | GGA-PBE | relaxed; space-group type = Fm-3m; offset from the most stable computed form = 0.0 kJ/mol of atoms
1.0
0.000 3.291 3.291
3.291 0.000 3.291
3.291 3.291 0.000
Mg Mn V
2 1 1
direct
0.250 0.250 0.250 Mg
0.750 0.750 0.750 Mg
0.000 0.000 0.000 Mn
0.500 0.500 0.500 V

Record 5
MgMn2W | Alexandria via LeMat-Bulk | GGA-PBE | relaxed; space-group type = P4mm
1.0
2.728 0.000 0.000
0.000 2.728 0.000
0.000 0.000 7.639
Mg Mn W
1 2 1
direct
0.000 0.000 0.000 Mg
0.000 0.000 0.441 Mn
0.500 0.500 0.268 Mn
0.500 0.500 0.694 W

Record 6
MgMnW | Alexandria via LeMat-Bulk | GGA-PBE | relaxed; space-group type = I4mm; offset from the most stable computed form = 0.0 kJ/mol of atoms
1.0
-1.527 1.527 4.944
1.527 -1.527 4.944
1.527 1.527 -4.944
Mg Mn W
1 1 1
direct
0.000 0.000 0.000 Mg
0.679 0.679 0.000 Mn
0.299 0.299 0.000 W

Looking at formation enthalpy at 0 K for the records above, in order, we have 1075.2, 744.4, 122.6, 519.4, 294.8, 298.1 meV per atom.